The following is a PBE-GGA calculation of crystalline Ca5DySb4 at its relaxed geometry, from Alexandria.

```
data_Ca5DySb4
_chemical_formula_sum 'Ca10 Dy2 Sb8'
_space_group_name_H-M_alt 'I m m m'
_space_group_IT_number 71
_space_group_name_Hall '-I 2 2'
_cell_length_a 4.6841
_cell_length_b 8.4104
_cell_length_c 17.9939
_cell_angle_alpha 90.00
_cell_angle_beta 90.00
_cell_angle_gamma 90.00
loop_
_atom_site_label
_atom_site_fract_x
_atom_site_fract_y
_atom_site_fract_z
Ca1 0.0000 0.0000 0.0000
Ca2 0.0000 0.2395 0.3317
Dy1 0.0000 0.5000 0.0000
Sb1 0.0000 0.2495 0.5000
Sb2 0.0000 0.5000 0.1963
```

As for the density of states at the Fermi level: 9.88 states/eV per cell. The formation energy (no corrections) is -0.8723 eV per atom. The magnetic moment comes out at 0.9 μB per formula unit.

---

The following is a PBE-GGA calculation of crystalline CaDy5Sb4 at its relaxed geometry, from Alexandria.

```
data_CaDy5Sb4
_chemical_formula_sum 'Ca2 Dy10 Sb8'
_space_group_name_H-M_alt 'C 1 2/m 1'
_space_group_IT_number 12
_cell_length_a 18.8071
_cell_length_b 4.3206
_cell_length_c 8.5567
_cell_angle_alpha 90.00
_cell_angle_beta 106.23
_cell_angle_gamma 90.00
loop_
_space_group_symop_operation_xyz
'x,y,z'
'-x,-y,-z'
'-x,y,-z'
'x,-y,z'
'x+1/2,y+1/2,z'
'-x+1/2,-y+1/2,-z'
'-x+1/2,y+1/2,-z'
'x+1/2,-y+1/2,z'
loop_
_atom_site_label
_atom_site_fract_x
_atom_site_fract_y
_atom_site_fract_z
Ca1 0.0000 0.0000 0.0000
Dy1 0.0000 0.0000 0.5000
Dy2 0.1611 0.5000 0.8289
Dy3 0.1763 0.5000 0.3481
Sb1 0.0086 0.5000 0.2625
Sb2 0.1721 0.0000 0.0915
```

As for the density of states at the Fermi level: 8.58 states/eV per cell. The formation energy (no corrections) is -0.6782 eV per atom. The magnetic moment comes out at 0.0 μB per formula unit.

---

The following is a PBE-GGA calculation of crystalline CaDySb2 at its relaxed geometry, from Alexandria.

```
data_CaDySb2
_chemical_formula_sum 'Ca3 Dy3 Sb6'
_space_group_name_H-M_alt 'R 3 m'
_space_group_IT_number 160
_space_group_name_Hall 'R 3 -2"'
_cell_length_a 4.5990
_cell_length_b 4.5990
_cell_length_c 21.0840
_cell_angle_alpha 90.00
_cell_angle_beta 90.00
_cell_angle_gamma 120.00
loop_
_atom_site_label
_atom_site_fract_x
_atom_site_fract_y
_atom_site_fract_z
Ca1 0.0000 0.0000 0.0000
Dy1 0.0000 0.0000 0.8263
Sb1 0.0000 0.0000 0.4177
Sb2 0.0000 0.0000 0.5767
```

As for the density of states at the Fermi level: 10.66 states/eV per cell. The formation energy (no corrections) is -0.8476 eV per atom. The magnetic moment comes out at 0.0 μB per formula unit. The calculation puts the excess energy over the best structure of this formula in the dataset at 79 meV per atom.

---

The following is a PBE-GGA calculation of crystalline CaDySb2 at its relaxed geometry, from Alexandria.

```
data_CaDySb2
_chemical_formula_sum 'Ca3 Dy3 Sb6'
_space_group_name_H-M_alt 'R -3 m'
_space_group_IT_number 166
_space_group_name_Hall '-R 3 2"'
_cell_length_a 4.3380
_cell_length_b 4.3380
_cell_length_c 22.9987
_cell_angle_alpha 90.00
_cell_angle_beta 90.00
_cell_angle_gamma 120.00
loop_
_atom_site_label
_atom_site_fract_x
_atom_site_fract_y
_atom_site_fract_z
Ca1 0.0000 0.0000 0.0000
Dy1 0.0000 0.0000 0.5000
Sb1 0.0000 0.0000 0.2462
```

As for the density of states at the Fermi level: 6.56 states/eV per cell. The formation energy (no corrections) is -0.9266 eV per atom. The magnetic moment comes out at 0.0 μB per formula unit. The calculation puts the excess energy over the best structure of this formula in the dataset at 0 meV per atom.

---

The following is a PBE-GGA calculation of crystalline CaDySb at its relaxed geometry, from Alexandria.

```
data_CaDySb
_chemical_formula_sum 'Ca6 Dy6 Sb6'
_space_group_name_H-M_alt 'R -3 m'
_space_group_IT_number 166
_space_group_name_Hall '-R 3 2"'
_cell_length_a 4.9892
_cell_length_b 4.9892
_cell_length_c 31.1193
_cell_angle_alpha 90.00
_cell_angle_beta 90.00
_cell_angle_gamma 120.00
loop_
_atom_site_label
_atom_site_fract_x
_atom_site_fract_y
_atom_site_fract_z
Ca1 0.0000 0.0000 0.2004
Dy1 0.0000 0.0000 0.0589
Sb1 0.0000 0.0000 0.4208
```

As for the density of states at the Fermi level: 8.97 states/eV per cell. The formation energy (no corrections) is -0.3404 eV per atom. The magnetic moment comes out at 0.1 μB per formula unit.

---

The following is a PBE-GGA calculation of crystalline CaSmDy2Sb4 at its relaxed geometry, from Alexandria.

```
data_CaSmDy2Sb4
_chemical_formula_sum 'Ca2 Sm2 Dy4 Sb8'
_space_group_name_H-M_alt 'I 4/m m m'
_space_group_IT_number 139
_space_group_name_Hall '-I 4 2'
_cell_length_a 6.2753
_cell_length_b 6.2753
_cell_length_c 12.5593
_cell_angle_alpha 90.00
_cell_angle_beta 90.00
_cell_angle_gamma 90.00
loop_
_atom_site_label
_atom_site_fract_x
_atom_site_fract_y
_atom_site_fract_z
Ca1 0.0000 0.0000 0.0000
Sm1 0.0000 0.0000 0.5000
Dy1 0.0000 0.5000 0.2500
Sb1 0.0000 0.0000 0.2522
Sb2 0.0000 0.5000 0.0000
```

As for the density of states at the Fermi level: 10.24 states/eV per cell. The formation energy (no corrections) is -1.0337 eV per atom. The magnetic moment comes out at 0.0 μB per formula unit.

---

The following is a PBE-GGA calculation of crystalline CaSm2DySb4 at its relaxed geometry, from Alexandria.

```
data_CaSm2DySb4
_chemical_formula_sum 'Ca1 Sm2 Dy1 Sb4'
_space_group_name_H-M_alt 'P 1 2/m 1'
_space_group_IT_number 10
_cell_length_a 7.7231
_cell_length_b 4.4418
_cell_length_c 7.7662
_cell_angle_alpha 90.00
_cell_angle_beta 109.25
_cell_angle_gamma 90.00
loop_
_space_group_symop_operation_xyz
'x,y,z'
'-x,-y,-z'
'-x,y,-z'
'x,-y,z'
loop_
_atom_site_label
_atom_site_fract_x
_atom_site_fract_y
_atom_site_fract_z
Ca1 0.0000 0.0000 0.0000
Sm1 0.5000 0.0000 0.5000
Sm2 0.5000 0.5000 0.0000
Dy1 0.0000 0.5000 0.5000
Sb1 0.2469 0.0000 0.7452
Sb2 0.2505 0.5000 0.2547
```

As for the density of states at the Fermi level: 3.89 states/eV per cell. The formation energy (no corrections) is -1.0511 eV per atom. The magnetic moment comes out at 0.0 μB per formula unit.

---

The following is a PBE-GGA calculation of crystalline CaTbDy2Sb4 at its relaxed geometry, from Alexandria.

```
data_CaTbDy2Sb4
_chemical_formula_sum 'Ca2 Tb2 Dy4 Sb8'
_space_group_name_H-M_alt 'I 4/m m m'
_space_group_IT_number 139
_space_group_name_Hall '-I 4 2'
_cell_length_a 6.2478
_cell_length_b 6.2478
_cell_length_c 12.5159
_cell_angle_alpha 90.00
_cell_angle_beta 90.00
_cell_angle_gamma 90.00
loop_
_atom_site_label
_atom_site_fract_x
_atom_site_fract_y
_atom_site_fract_z
Ca1 0.0000 0.0000 0.0000
Tb1 0.0000 0.0000 0.5000
Dy1 0.0000 0.5000 0.2500
Sb1 0.0000 0.0000 0.2538
Sb2 0.0000 0.5000 0.0000
```

As for the density of states at the Fermi level: 9.58 states/eV per cell. The formation energy (no corrections) is -1.0310 eV per atom. The magnetic moment comes out at 0.0 μB per formula unit.